1.
BaSO (PBE, optimized geometry); formation energy without anion corrections = -1.776 eV/atom; V = 24.9 Å³/atom
1.0
4.539 0.000 0.000
0.000 6.879 0.000
0.000 0.000 4.776
Ba S O
2 2 2
Cartesian
0.000 5.283 4.215
2.270 1.595 1.827
0.000 2.010 4.286
2.270 4.869 1.898
0.000 0.763 0.676
2.270 6.116 3.064

2.
TiHg3Ru (PBE, optimized geometry); formation energy = 5.42 eV/f.u.; V = 26.8 Å³/atom
1.0
5.114 0.000 0.000
0.000 5.114 0.000
0.000 0.000 5.114
Ru Hg Ti
1 3 1
Cartesian
0.000 0.000 0.000
2.557 0.000 0.000
0.000 2.557 0.000
0.000 0.000 2.557
2.557 2.557 2.557